(1)
Computed, not measured: a geometry-optimized NbCoNiPt structure at the PBE level of DFT.

The structure belongs to space group Pmmm (No. 47); the cell edges are 3.6643, 3.7681 and 3.9368 Å and the angles 90.00°, 90.00° and 90.00°. The distinct sites, in fractional coordinates, are Nb at (0.0000, 0.0000, 0.0000), Co at (0.5000, 0.5000, 0.0000), Ni at (0.5000, 0.0000, 0.5000) and Pt at (0.0000, 0.5000, 0.5000).

The crystal system is orthorhombic. The value obtained for the total magnetic moment is 0.0 μB per cell. The calculation puts the energy of formation from the pure elements at -0.380 eV per atom. The calculation puts the density of states at the Fermi level at 0.256 states/eV per atom.

---

(2)
Computed, not measured: a geometry-optimized NbCoNiRu2 structure at the PBE level of DFT.

The structure belongs to space group P4/mmm (No. 123); the cell edges are 4.4048, 4.4048 and 4.1457 Å and the angles 90.00°, 90.00° and 90.00°. The distinct sites, in fractional coordinates, are Nb at (0.0000, 0.0000, 0.0000), Co at (0.5000, 0.5000, 0.5000), Ni at (0.5000, 0.5000, 0.0000) and Ru at (0.0000, 0.5000, 0.5000).

The crystal system is tetragonal. The value obtained for the total magnetic moment is 3.2 μB per cell. The calculation puts the energy of formation from the pure elements at 1.038 eV per atom. The calculation puts the density of states at the Fermi level at 1.155 states/eV per atom.

---

(3)
Computed, not measured: a geometry-optimized NbCoNi2Ru structure at the PBE level of DFT.

The structure belongs to space group P4/mmm (No. 123); the cell edges are 4.1656, 4.1656 and 4.4627 Å and the angles 90.00°, 90.00° and 90.00°. The distinct sites, in fractional coordinates, are Nb at (0.0000, 0.0000, 0.0000), Co at (0.5000, 0.5000, 0.5000), Ni at (0.0000, 0.5000, 0.5000) and Ru at (0.5000, 0.5000, 0.0000).

The crystal system is tetragonal. The value obtained for the total magnetic moment is 3.4 μB per cell. The calculation puts the energy of formation from the pure elements at 0.972 eV per atom. The calculation puts the density of states at the Fermi level at 1.392 states/eV per atom.

---

(4)
Computed, not measured: a geometry-optimized NbCoNi2Se structure at the PBE level of DFT.

The structure belongs to space group P4/mmm (No. 123); the cell edges are 4.2929, 4.2929 and 4.2724 Å and the angles 90.00°, 90.00° and 90.00°. The distinct sites, in fractional coordinates, are Nb at (0.0000, 0.0000, 0.0000), Co at (0.5000, 0.5000, 0.0000), Ni at (0.0000, 0.5000, 0.5000) and Se at (0.5000, 0.5000, 0.5000).

The crystal system is tetragonal. The value obtained for the total magnetic moment is 1.5 μB per cell. The calculation puts the total energy at -5.810 eV per atom. The calculation puts the density of states at the Fermi level at 1.270 states/eV per atom.

---

(5)
Computed, not measured: a geometry-optimized TaNbCoNi structure at the PBE level of DFT.

The structure belongs to space group F-43m (No. 216); the cell edges are 6.1613, 6.1613 and 6.1613 Å and the angles 90.00°, 90.00° and 90.00°. The distinct sites, in fractional coordinates, are Ta at (0.0000, 0.0000, 0.0000), Nb at (0.0000, 0.0000, 0.5000), Co at (0.2500, 0.2500, 0.7500) and Ni at (0.2500, 0.2500, 0.2500).

The crystal system is cubic. The value obtained for the total magnetic moment is 6.2 μB per cell. The calculation puts the energy of formation from the pure elements at -0.058 eV per atom. The calculation puts the density of states at the Fermi level at 1.113 states/eV per atom.

---

(6)
Computed, not measured: a geometry-optimized NbZnCoNi structure at the PBE level of DFT.

The structure belongs to space group I-4m2 (No. 119); the cell edges are 3.8741, 3.8741 and 7.0103 Å and the angles 90.00°, 90.00° and 90.00°. The distinct sites, in fractional coordinates, are Nb at (0.0000, 0.0000, 0.0000), Zn at (0.0000, 0.0000, 0.5000), Co at (0.0000, 0.5000, 0.2500) and Ni at (0.0000, 0.5000, 0.7500).

The crystal system is tetragonal. The value obtained for the total magnetic moment is 0.0 μB per cell. The calculation puts the energy of formation from the pure elements at -0.179 eV per atom. The calculation puts the density of states at the Fermi level at 0.607 states/eV per atom.